A geometry-optimized V2O5 structure, computed with PBE+U.

Summary:
Space-group type   Pnma
Calculated total energy   -7.45 eV/atom
V   401.6 Å³ per cell

Cell lengths 10.208, 3.636, 10.821 Å; angles 90.00, 90.00, 90.00 degrees
Fractional coordinates of all 28 atoms:
V1 0.072 0.250 0.095
V2 0.124 0.750 0.505
V3 0.376 0.250 0.005
V4 0.428 0.750 0.595
V5 0.572 0.250 0.405
V6 0.624 0.750 0.995
V7 0.876 0.250 0.495
V8 0.928 0.750 0.905
O1 0.004 0.250 0.229
O2 0.065 0.750 0.038
O3 0.071 0.250 0.529
O4 0.203 0.750 0.377
O5 0.247 0.250 0.121
O6 0.253 0.750 0.621
O7 0.297 0.250 0.877
O8 0.429 0.750 0.029
O9 0.435 0.250 0.538
O10 0.496 0.750 0.729
O11 0.504 0.250 0.271
O12 0.565 0.750 0.462
O13 0.571 0.250 0.971
O14 0.703 0.750 0.123
O15 0.747 0.250 0.379
O16 0.753 0.750 0.879
O17 0.797 0.250 0.623
O18 0.929 0.750 0.471
O19 0.935 0.250 0.962
O20 0.996 0.750 0.771